Here is an optimized crystal structure of Si23Sb3 from the Alexandria database. Energies are from PBE.

Lattice parameters (Å, degrees): 10.181 10.181 10.181 90.00 90.00 90.00
Positions (direct):
Si  0.250  0.500  0.000
Si  0.684  0.684  0.684
Si  0.816  0.816  0.184
Si  0.500  0.190  0.384
Si  0.184  0.816  0.816
Sb  0.500  0.750  0.000
Si  0.616  0.500  0.190
Si  0.690  0.000  0.884
Si  0.316  0.316  0.316
Si  0.684  0.316  0.684
Si  0.310  0.000  0.884
Sb  0.000  0.500  0.750
Si  0.116  0.310  0.000
Si  0.684  0.684  0.316
Si  0.684  0.316  0.316
Si  0.816  0.184  0.816
Si  0.810  0.384  0.500
Si  0.616  0.500  0.810
Si  0.316  0.684  0.684
Si  0.116  0.690  0.000
Si  0.384  0.500  0.190
Si  0.000  0.250  0.500
Si  0.316  0.316  0.684
Si  0.690  0.000  0.116
Si  0.190  0.384  0.500
Si  0.500  0.190  0.616
Si  0.810  0.616  0.500
Si  0.190  0.616  0.500
Sb  0.000  0.500  0.250
Si  0.000  0.116  0.690
Si  0.816  0.816  0.816
Si  0.000  0.884  0.690
Sb  0.500  0.250  0.000
Si  0.500  0.000  0.250
Si  0.884  0.310  0.000
Si  0.316  0.684  0.316
Si  0.500  0.810  0.384
Sb  0.750  0.000  0.500
Si  0.310  0.000  0.116
Si  0.500  0.810  0.616
Si  0.816  0.184  0.184
Si  0.000  0.116  0.310
Si  0.884  0.690  0.000
Si  0.000  0.884  0.310
Si  0.184  0.184  0.816
Si  0.750  0.500  0.000
Si  0.384  0.500  0.810
Sb  0.250  0.000  0.500
Si  0.184  0.816  0.184
Si  0.500  0.000  0.750
Si  0.184  0.184  0.184
Si  0.000  0.750  0.500

Results
The value obtained for the total magnetization is 0.00 μB per cell. As for the energy: -5.058 eV/atom.



Here is an optimized crystal structure of Pm2ZrAl from the Alexandria database. Energies are from PBE.

Lattice parameters (Å, degrees): 4.772 4.648 4.648 90.00 90.00 90.00
Positions (direct):
Pm  0.000  0.000  0.500
Al  0.500  0.000  0.000
Zr  0.500  0.500  0.500
Pm  0.000  0.500  0.000

Results
The energy relative to the lowest polymorph listed for this composition comes out at 0.000 eV/atom. The value obtained for the total magnetization is 0.00 μB per cell. As for the energy: -5.560 eV/atom.



Here is an optimized crystal structure of Er6Sn2BiTe3 from the Alexandria database. Energies are from PBE.

Lattice parameters (Å, degrees): 4.377 8.751 9.770 102.72 102.94 90.00
Positions (direct):
Sn  0.167  0.334  0.334
Er  0.333  0.904  0.666
Te  0.835  0.166  0.671
Sn  0.833  0.666  0.666
Er  0.670  0.575  0.340
Er  0.330  0.425  0.660
Te  0.165  0.834  0.329
Er  0.667  0.096  0.334
Er  0.005  0.251  0.011
Er  0.995  0.749  0.989
Bi  0.500  0.000  0.000
Te  0.500  0.500  0.000

Results
The value obtained for the total magnetization is 0.00 μB per cell. As for the energy: -5.085 eV/atom.



Here is an optimized crystal structure of Pm3PrDy2Ho6 from the Alexandria database. Energies are from PBE.

Lattice parameters (Å, degrees): 6.195 6.195 11.801 95.01 95.01 119.98
Positions (direct):
Ho  0.251  0.251  0.751
Pm  0.833  0.167  0.500
Pm  0.167  0.833  0.500
Pm  0.500  0.500  0.500
Pr  0.000  0.000  0.000
Ho  0.084  0.418  0.249
Dy  0.667  0.333  0.000
Dy  0.333  0.667  0.000
Ho  0.749  0.749  0.249
Ho  0.582  0.916  0.751
Ho  0.916  0.582  0.751
Ho  0.418  0.084  0.249

Results
The value obtained for the total magnetization is 0.00 μB per cell. As for the energy: -4.626 eV/atom.



Here is an optimized crystal structure of Mn2ZnHg from the Alexandria database. Energies are from PBE.

Lattice parameters (Å, degrees): 3.752 2.895 6.486 63.32 90.00 90.00
Site moments in Bohr magnetons follow the coordinates.
Positions (direct):
Mn  0.000  0.522  0.478  3.27
Hg  0.500  0.750  0.750  -0.07
Mn  0.000  0.978  0.022  3.27
Zn  0.500  0.250  0.250  -0.10

Results
The energy relative to the lowest polymorph listed for this composition comes out at 0.055 eV/atom. The value obtained for the total magnetization is 6.53 μB per cell. As for the energy: -4.733 eV/atom.



Here is an optimized crystal structure of NdTm5Hg4 from the Alexandria database. Energies are from PBE.

Lattice parameters (Å, degrees): 3.650 3.650 19.866 90.00 90.00 90.00
Positions (direct):
Nd  0.000  0.000  0.000
Tm  0.500  0.500  0.686
Tm  0.500  0.500  0.500
Hg  0.000  0.000  0.595
Tm  0.500  0.500  0.874
Hg  0.000  0.000  0.405
Tm  0.500  0.500  0.314
Tm  0.500  0.500  0.126
Hg  0.000  0.000  0.781
Hg  0.000  0.000  0.219

Results
The value obtained for the total magnetization is 0.00 μB per cell. As for the energy: -3.212 eV/atom.



- Among the records above, which one has the lowest energy?
  Pm2ZrAl



- Which of these has the lowest energy?
  Pm2ZrAl



- Among the records above, which one has the lowest energy?
  Pm2ZrAl



- Which of these has the lowest energy?
  Pm2ZrAl